<a>
DFT (PBE) results for an optimized crystal structure of BeCrGe2Rh.

Properties
N(E_F): 4.090 states/eV/f.u.
SG: P4/mmm (123)

Cell: 4.508 4.116 4.508 Å, 90.00 90.00 90.00°
Each line ends with the local moment (μB).
Atoms (fractional coordinates):
Be: 0.000 0.500 0.000  -0.02
Cr: 0.000 0.000 0.000  1.22
Rh: 0.500 0.500 0.500  0.69
Ge: 0.500 0.000 0.000  -0.04
Ge: 0.000 0.000 0.500  0.06

<b>
DFT (PBE) results for an optimized crystal structure of BeCrGe2Rh.

Properties
N(E_F): 4.534 states/eV/f.u.
SG: P4/mmm (123)

Cell: 4.544 4.538 4.544 Å, 90.00 90.00 90.00°
Atoms (fractional coordinates):
Be: 0.500 0.500 0.500
Ge: 0.500 0.000 0.000
Ge: 0.000 0.000 0.500
Rh: 0.000 0.500 0.000
Cr: 0.000 0.000 0.000

We find <a> to be the most stable, with the next structure 17.5 kJ/mol of atoms higher.

<a>
DFT (PBE) results for an optimized crystal structure of BeCr2H.

Properties
N(E_F): 3.951 states/eV/f.u.
SG: I-42d (122)

Cell: 5.244 5.244 4.492 Å, 54.29 54.29 90.00°
Each line ends with the local moment (μB).
Atoms (fractional coordinates):
Be: 0.750 0.250 0.500  0.00
Be: 0.000 0.000 0.000  0.00
Cr: 0.875 0.799 0.750  0.32
Cr: 0.201 0.625 0.250  0.32
Cr: 0.375 0.451 0.750  0.32
Cr: 0.549 0.125 0.250  0.32
H: 0.500 0.500 0.000  0.00
H: 0.250 0.750 0.500  0.00

<b>
DFT (PBE) results for an optimized crystal structure of BeCr2H.

Properties
N(E_F): 4.156 states/eV/f.u.
SG: R-3m (166)

Cell: 2.441 2.441 7.487 Å, 80.62 80.62 60.00°
Atoms (fractional coordinates):
H: 0.000 0.000 0.000
Be: 0.500 0.500 0.500
Cr: 0.075 0.075 0.775
Cr: 0.925 0.925 0.225

<c>
DFT (PBE) results for an optimized crystal structure of BeCr2H.

Properties
N(E_F): 3.212 states/eV/f.u.
SG: Fm-3m (225)

Cell: 3.668 3.668 3.668 Å, 60.00 60.00 60.00°
Atoms (fractional coordinates):
Be: 0.500 0.500 0.500
Cr: 0.750 0.750 0.750
Cr: 0.250 0.250 0.250
H: 0.000 0.000 0.000

We find <a> to be the most stable, with the next structure 25.3 kJ/mol of atoms higher.

<a>
DFT (PBE) results for an optimized crystal structure of BeCrH3.

Properties
N(E_F): 1.459 states/eV/f.u.
SG: Pm-3m (221)

Cell: 3.190 3.190 3.190 Å, 90.00 90.00 90.00°
Each line ends with the local moment (μB).
Atoms (fractional coordinates):
Be: 0.500 0.500 0.500  -0.05
H: 0.000 0.500 0.000  -0.01
H: 0.500 0.000 0.000  -0.01
H: 0.000 0.000 0.500  -0.01
Cr: 0.000 0.000 0.000  1.10

<b>
DFT (PBE) results for an optimized crystal structure of BeCrH3.

Properties
N(E_F): 2.707 states/eV/f.u.
SG: Pm-3m (221)

Cell: 2.982 2.982 2.982 Å, 90.00 90.00 90.00°
Atoms (fractional coordinates):
H: 0.000 0.000 0.500
H: 0.000 0.500 0.000
H: 0.500 0.000 0.000
Cr: 0.500 0.500 0.500
Be: 0.000 0.000 0.000

We find <a> to be the most stable, with the next structure 2.5 kJ/mol of atoms higher.

<a>
DFT (PBE) results for an optimized crystal structure of HfBe3Cr.

Properties
N(E_F): 5.286 states/eV/f.u.
SG: Pm-3m (221)

Cell: 4.597 4.597 4.597 Å, 90.00 90.00 90.00°
Each line ends with the local moment (μB).
Atoms (fractional coordinates):
Be: 0.000 0.500 0.000  0.01
Be: 0.500 0.000 0.000  -0.01
Be: 0.000 0.000 0.500  0.01
Cr: 0.500 0.500 0.500  3.81
Hf: 0.000 0.000 0.000  0.13

<b>
DFT (PBE) results for an optimized crystal structure of HfBe3Cr.

Properties
N(E_F): 0.857 states/eV/f.u.
SG: Pm-3m (221)

Cell: 4.005 4.005 4.005 Å, 90.00 90.00 90.00°
Atoms (fractional coordinates):
Hf: 0.500 0.500 0.500
Be: 0.000 0.500 0.000
Be: 0.000 0.000 0.500
Be: 0.500 0.000 0.000
Cr: 0.000 0.000 0.000

We find <b> to be the most stable, with the next structure 135.0 kJ/mol of atoms higher.